! YMn2Tl | Alexandria via LeMat-Bulk | GGA-PBEsol | relaxed; values from VASP
&SYSTEM
  ibrav = 0, nat = 4, ntyp = 3
/
ATOMIC_SPECIES
Mn 54.94 Mn.upf
Tl 204.38 Tl.upf
Y 88.91 Y.upf
ATOMIC_POSITIONS angstrom
Mn 4.6613 -1.8417 -0.4976
Mn 0.4691 -3.2068 1.5356
Tl -0.9190 -2.1429 -0.6941
Y 2.0835 -3.3291 -1.0147
CELL_PARAMETERS angstrom
-0.8746 -2.6761 1.6791
-0.9634 -1.6097 -3.0673
6.0050 -2.3724 -0.6411
! **Crystal system**: orthorhombic
! **Spin magnetization**: 1.505 μB per atom
! **Raw total energy**: -6.8295 eV per atom
! **Energy relative to the elements**: 414 meV per atom
! **Mass density**: 8.75 g/cm3


! MgTa2Ag | Alexandria via LeMat-Bulk | GGA-PBEsol | relaxed; values from VASP
&SYSTEM
  ibrav = 0, nat = 4, ntyp = 3
/
ATOMIC_SPECIES
Ag 107.87 Ag.upf
Mg 24.30 Mg.upf
Ta 180.95 Ta.upf
ATOMIC_POSITIONS angstrom
Ag 0.1747 -1.6170 1.1263
Mg -3.7940 -0.6889 3.0744
Ta -6.0373 1.4118 2.9635
Ta -1.9003 0.4444 0.9328
CELL_PARAMETERS angstrom
-0.7540 -2.6818 -0.2584
1.1034 -0.5522 2.5109
-7.9375 1.8562 3.8963
! **Crystal system**: tetragonal
! **Spin magnetization**: 0.000 μB per atom
! **Raw total energy**: -7.1661 eV per atom
! **Energy relative to the elements**: 367 meV per atom
! **Mass density**: 11.60 g/cm3


! La2CrBr | Alexandria via LeMat-Bulk | GGA-PBEsol | relaxed; values from VASP
&SYSTEM
  ibrav = 0, nat = 4, ntyp = 3
/
ATOMIC_SPECIES
Br 79.90 Br.upf
Cr 52.00 Cr.upf
La 138.91 La.upf
ATOMIC_POSITIONS angstrom
Br 1.7352 1.7352 0.0000
Cr 1.7352 1.7352 4.2155
La 0.0000 0.0000 6.0970
La 0.0000 0.0000 2.3339
CELL_PARAMETERS angstrom
3.4703 0.0000 0.0000
0.0000 3.4703 0.0000
0.0000 0.0000 8.4310
! **Energy relative to the lowest polymorph listed for this composition**: 0.0 meV per atom
! **Raw formation energy**: -6.6 kcal/mol of atoms
! **Crystal system**: tetragonal
! **Spin magnetization**: 0.568 μB per atom
! **Raw total energy**: -5.9861 eV per atom
! **Mass density**: 6.70 g/cm3


! CdTcRu2 | Alexandria via LeMat-Bulk | GGA-PBEsol | relaxed; values from VASP
&SYSTEM
  ibrav = 0, nat = 4, ntyp = 3
/
ATOMIC_SPECIES
Cd 112.41 Cd.upf
Ru 101.07 Ru.upf
Tc 98.00 Tc.upf
ATOMIC_POSITIONS angstrom
Cd -1.2557 0.1332 -0.4397
Ru -1.0420 1.6893 1.6994
Ru 0.9179 2.4447 -0.0926
Tc -0.7042 -0.8885 2.2317
CELL_PARAMETERS angstrom
-2.5114 0.2664 -0.8794
-1.4084 -1.7771 4.4635
1.8358 4.8894 -0.1853
! **Crystal system**: monoclinic
! **Spin magnetization**: 0.001 μB per atom
! **Raw total energy**: -7.5912 eV per atom
! **Energy relative to the elements**: 611 meV per atom
! **Mass density**: 11.56 g/cm3


! Zr2PbSe | Alexandria via LeMat-Bulk | GGA-PBEsol | relaxed; values from VASP
&SYSTEM
  ibrav = 0, nat = 4, ntyp = 3
/
ATOMIC_SPECIES
Pb 207.20 Pb.upf
Se 78.96 Se.upf
Zr 91.22 Zr.upf
ATOMIC_POSITIONS angstrom
Pb 1.0071 -5.1527 2.9132
Se 0.0000 0.0000 0.0000
Zr 1.5107 -7.7291 4.3697
Zr 0.5036 -2.5764 1.4566
CELL_PARAMETERS angstrom
-2.1168 -3.7932 2.2726
1.9703 -4.4757 -0.3474
2.1607 -2.0366 3.9010
! **Energy relative to the lowest polymorph listed for this composition**: 236.1 meV per atom
! **Raw formation energy**: -11.1 kcal/mol of atoms
! **Crystal system**: cubic
! **Spin magnetization**: 0.000 μB per atom
! **Raw total energy**: -6.9895 eV per atom
! **Mass density**: 9.34 g/cm3


! Ga2Te2MoO10 | Alexandria via LeMat-Bulk | GGA-PBEsol | relaxed; values from VASP
&SYSTEM
  ibrav = 0, nat = 60, ntyp = 4
/
ATOMIC_SPECIES
Ga 69.72 Ga.upf
Te 127.60 Te.upf
Mo 95.94 Mo.upf
O 16.00 O.upf
ATOMIC_POSITIONS angstrom
Ga -6.5187 -3.3252 12.3025
Ga 1.7145 -0.2019 4.9247
Ga -2.8208 -0.0475 14.3710
Ga -0.4354 1.6949 5.7624
Ga -0.6709 -1.9443 13.5334
Ga -4.1333 -1.5828 3.6939
Ga -4.3688 -5.2220 11.4649
Ga -1.9834 -3.4796 2.8563
Te -1.4434 -5.0607 13.1479
Te -2.5955 -4.3080 8.4864
Te -2.2087 0.7809 8.7409
Te 0.5556 -1.5841 10.4057
Te -5.3598 -1.9431 6.8216
Te -2.3138 -0.6303 0.8814
Te -3.3608 1.5336 4.0794
Te -2.4904 -2.8968 16.3459
Mo -0.1295 1.1595 13.2197
Mo -3.6702 -2.1366 11.5965
Mo -4.6747 -4.6867 4.0076
Mo -1.1341 -1.3905 5.6307
O -1.3712 -3.2121 14.8279
O -6.7193 -0.8405 6.0176
O -4.4105 -3.9113 8.0340
O -4.6287 -5.3803 5.6964
O -2.4544 2.2023 9.9961
O -2.1751 -1.9569 4.2413
O -0.3305 -2.8347 6.1579
O -6.0954 -1.2094 3.2722
O -3.4319 -1.3940 15.6308
O 1.8452 -0.1213 10.4031
O -3.4330 -0.3150 2.3994
O -2.2705 -1.1230 6.9138
O -2.5337 -2.4041 10.3135
O -5.0411 -3.4524 11.0573
O -2.6291 -1.5703 12.9860
O -3.9113 -3.2998 2.8263
O -3.1152 -5.5126 9.8801
O -4.4170 -6.0669 2.9889
O 1.9150 -2.6866 11.2096
O 0.2369 -0.0748 6.1700
O -1.6890 1.9854 7.3472
O -4.4737 -0.6925 11.0694
O -1.7946 0.6929 4.8212
O -3.0096 -4.2200 12.4061
O -6.3570 -4.3553 3.7448
O -0.9177 -6.0657 11.5910
O -0.8929 -0.2273 14.4010
O -6.6494 -3.4058 6.8242
O -2.3499 -5.7294 7.2311
O -1.3723 -2.1331 1.5965
O 1.5528 0.8281 13.4825
O -4.4044 0.0421 4.7786
O -0.1769 -0.8410 12.0247
O -0.3872 2.5398 14.2384
O -0.3998 -3.5692 12.4487
O -3.8865 2.5386 5.6363
O -0.1756 1.8532 11.5309
O 1.2912 -2.3178 13.9550
O -0.3937 0.3841 9.1932
O -4.6273 -2.6862 5.2026
CELL_PARAMETERS angstrom
-4.3541 3.8416 1.6965
-5.3649 -6.7933 1.6137
4.9148 -0.5754 13.9171
! **Raw formation energy**: -36.4 kcal/mol of atoms
! **Crystal system**: orthorhombic
! **Spin magnetization**: 0.000 μB per atom
! **Raw total energy**: -6.7760 eV per atom
! **Mass density**: 5.49 g/cm3


! LaMg2Fe | Alexandria via LeMat-Bulk | GGA-PBEsol | relaxed; values from VASP
&SYSTEM
  ibrav = 0, nat = 4, ntyp = 3
/
ATOMIC_SPECIES
Fe 55.84 Fe.upf
La 138.91 La.upf
Mg 24.30 Mg.upf
ATOMIC_POSITIONS angstrom
Fe 4.9826 2.8767 2.0341
La 2.4913 1.4384 1.0171
Mg 0.0000 0.0000 0.0000
Mg 7.4739 4.3151 3.0512
CELL_PARAMETERS angstrom
4.9826 0.0000 0.0000
2.4913 4.3151 0.0000
2.4913 1.4384 4.0683
! **Crystal system**: cubic
! **Spin magnetization**: 0.681 μB per atom
! **Raw total energy**: -4.1437 eV per atom
! **Energy relative to the elements**: 292 meV per atom
! **Mass density**: 4.62 g/cm3


! Co2TcIr | Alexandria via LeMat-Bulk | GGA-PBEsol | relaxed; values from VASP
&SYSTEM
  ibrav = 0, nat = 4, ntyp = 3
/
ATOMIC_SPECIES
Ir 192.22 Ir.upf
Co 58.93 Co.upf
Tc 98.00 Tc.upf
ATOMIC_POSITIONS angstrom
Ir 1.7871 1.8333 1.8333
Co 0.0000 0.0000 1.8333
Co 0.0000 1.8333 0.0000
Tc 1.7871 0.0000 0.0000
CELL_PARAMETERS angstrom
3.5742 0.0000 0.0000
0.0000 3.6667 0.0000
0.0000 0.0000 3.6667
! **Energy relative to the lowest polymorph listed for this composition**: 0.0 meV per atom
! **Crystal system**: tetragonal
! **Spin magnetization**: 0.308 μB per atom
! **Raw total energy**: -9.1385 eV per atom
! **Energy relative to the elements**: 2 meV per atom
! **Mass density**: 14.10 g/cm3


! BaZnHg3 | Alexandria via LeMat-Bulk | GGA-PBEsol | relaxed; values from VASP
&SYSTEM
  ibrav = 0, nat = 5, ntyp = 3
/
ATOMIC_SPECIES
Zn 65.41 Zn.upf
Hg 200.59 Hg.upf
Ba 137.33 Ba.upf
ATOMIC_POSITIONS angstrom
Zn 0.0000 0.0000 0.0000
Hg 2.0888 -0.7048 1.3610
Hg -1.1780 0.7336 2.1878
Hg -0.9806 -2.3827 0.2710
Ba -0.0697 -2.3539 3.8199
CELL_PARAMETERS angstrom
-1.9612 -4.7655 0.5421
4.1777 -1.4096 2.7220
-2.3559 1.4673 4.3756
! **Crystal system**: cubic
! **Spin magnetization**: 0.000 μB per atom
! **Raw total energy**: -1.3491 eV per atom
! **Energy relative to the elements**: -263 meV per atom
! **Mass density**: 9.60 g/cm3